DFT (GGA-PBE) results for crystalline Pm2PrNbN4 at its relaxed geometry.

a b c (Å): 3.4934 6.3637 12.4573
angles (deg): 90.00 90.00 105.93
Fractional coordinates of all 16 atoms:
Pm1 0.3697 0.7394 0.9643
Pm2 0.3697 0.7394 0.5357
Pm3 0.6303 0.2606 0.0357
Pm4 0.6303 0.2606 0.4643
Pr1 0.0975 0.1951 0.7500
Pr2 0.9025 0.8049 0.2500
N1 0.7362 0.4724 0.6278
N2 0.2638 0.5276 0.1278
N3 0.5614 0.1227 0.2500
N4 0.0000 0.0000 0.5000
N5 0.0000 0.0000 0.0000
N6 0.2638 0.5276 0.3722
N7 0.7362 0.4724 0.8722
N8 0.4386 0.8773 0.7500
Nb1 0.1637 0.3274 0.2500
Nb2 0.8363 0.6726 0.7500

Properties
Fermi-level density of states: 0.331 states/eV/atom
Density: 7.23 Mg/m³
Uncorrected energy: -8.339 eV/atom
Symmetry: Cmcm